The following is a PBE calculation of a relaxed structure of Ti8Ga6Rh, from Alexandria.

Cell lengths 7.4860, 7.4860, 6.9206 Å; angles 57.26, 57.26, 60.00 degrees
Last column: nearest neighbours and their distance in Å.
Element x y z (fractional)
Ti: 0.5411 0.2318 0.3412  5 Ga 2.64-2.78
Ti: 0.7682 0.1141 0.6588  5 Ga 2.64-2.78
Ti: 0.1141 0.4589 0.6588  5 Ga 2.64-2.78
Ti: 0.6640 0.6640 0.0079  6 Ga 2.72, 3 Ti 3.04
Ti: 0.3360 0.3360 0.9921  6 Ga 2.72, 3 Ti 3.04
Ti: 0.8859 0.5411 0.3412  5 Ga 2.64-2.78
Ti: 0.2318 0.8859 0.3412  5 Ga 2.64-2.78
Ti: 0.4589 0.7682 0.6588  5 Ga 2.64-2.78
Ga: 0.3762 0.0546 0.8291  1 Rh 2.55, 7 Ti 2.64-2.78
Ga: 0.9454 0.2598 0.1709  1 Rh 2.55, 7 Ti 2.64-2.78
Ga: 0.2598 0.6238 0.1709  1 Rh 2.55, 7 Ti 2.64-2.78
Ga: 0.7402 0.3762 0.8291  1 Rh 2.55, 7 Ti 2.64-2.78
Ga: 0.0546 0.7402 0.8291  1 Rh 2.55, 7 Ti 2.64-2.78
Ga: 0.6238 0.9454 0.1709  1 Rh 2.55, 7 Ti 2.64-2.78
Rh: 0.0000 0.0000 0.0000  6 Ga 2.55

Values from the calculation:
For the total energy, the calculation gives -90.95 eV per formula unit. The calculation puts the spin magnetization at 1.56 μB per cell. The formation energy comes out at -0.152 eV/atom.